A geometry-optimized La2ErOs structure. Source: Alexandria via LeMat-Bulk, functional PBE.

Values from the calculation:
SG: Pnma
ΔH_f (0 K): -0.171 eV per atom
spin magnetization: 0.00 μB/f.u.
uncorrected energy: -6.583 eV per atom
energy relative to the lowest polymorph listed for this composition: 0 meV/atom

a = 6.423 Å, b = 7.466 Å, c = 9.736 Å
α = 90.00°, β = 90.00°, γ = 90.00°
Sites, in units of the cell vectors:
1 La 0.328 0.176 0.066
2 La 0.328 0.176 0.434
3 La 0.828 0.324 0.934
4 La 0.172 0.676 0.066
5 La 0.828 0.324 0.566
6 La 0.172 0.676 0.434
7 La 0.672 0.824 0.934
8 La 0.672 0.824 0.566
9 Os 0.044 0.384 0.250
10 Os 0.456 0.884 0.250
11 Os 0.544 0.116 0.750
12 Os 0.956 0.616 0.750
13 Er 0.149 0.955 0.750
14 Er 0.649 0.545 0.250
15 Er 0.351 0.455 0.750
16 Er 0.851 0.045 0.250